The following is a PBE calculation of crystalline Ti2Ga5Rh2 at its relaxed geometry, from Alexandria.

POSCAR file:
```
Ti2Ga5Rh2
1.0
-6.160 2.904 4.061
6.160 -2.904 4.061
6.160 2.904 -4.061
Ti Ga Rh
4 10 4
Cartesian
1.505 0.050 0.000
4.655 0.050 0.000
1.505 2.854 4.061
4.655 2.854 4.061
3.080 1.544 -1.687
8.025 1.857 -1.719
4.295 -1.047 2.341
-1.865 1.047 2.341
8.025 1.047 2.341
0.573 1.771 1.726
5.587 1.771 1.726
3.080 1.360 2.373
-0.573 4.036 1.726
0.573 1.133 5.787
0.000 0.000 3.595
6.160 0.000 3.595
3.080 -0.326 4.595
3.080 3.230 0.534
```

## Properties
* V: 291 Å³ per cell
* E: -5.284 eV per atom
* density of states at the Fermi level: 16.3 states/eV per cell